Entry 1:
An optimized crystal structure of CoP2PbS, computed with GGA-PBE.

uncorrected formation energy = 272 meV/atom
total DFT energy (no corrections) = -4.880 eV per atom
M_tot = 0.0 Bohr magnetons per cell
distance to the lowest polymorph of the same formula = 0.000 eV/atom

Cell and atoms, written as extended XYZ:
```
5
Lattice="4.223 0.000 0.000 0.000 4.223 0.000 0.000 0.000 5.106" Properties=species:S:1:pos:R:3 pbc="T T T"
P 2.112 0.000 0.000
P 0.000 2.112 0.000
Pb 2.112 2.112 2.553
Co 0.000 0.000 0.000
S 0.000 0.000 2.553
```

=====

Entry 2:
An optimized crystal structure of Cu2Ag2Se, computed with GGA-PBE.

uncorrected formation energy = 247 meV/atom
total DFT energy (no corrections) = -3.229 eV per atom
M_tot = 0.0 Bohr magnetons per cell
distance to the lowest polymorph of the same formula = 0.169 eV/atom

Cell and atoms, written as extended XYZ:
```
10
Lattice="7.567 0.000 0.000 0.000 7.567 0.000 0.000 0.000 2.942" Properties=species:S:1:pos:R:3 pbc="T T T"
Cu 2.605 1.179 1.471
Cu 1.179 4.962 1.471
Cu 6.388 2.605 1.471
Cu 4.962 6.388 1.471
Ag 1.039 2.745 0.000
Ag 6.528 4.822 0.000
Ag 2.745 6.528 0.000
Ag 4.822 1.039 0.000
Se 0.000 0.000 0.000
Se 3.783 3.783 0.000
```

=====

Entry 3:
An optimized crystal structure of Mn2TlCo, computed with GGA-PBE.

total DFT energy (no corrections) = -6.318 eV per atom
M_tot = 7.0 Bohr magnetons per cell
DFT formation energy = 635 meV/atom
distance to the lowest polymorph of the same formula = 0.338 eV/atom

Cell and atoms, written as extended XYZ:
```
4
Lattice="8.635 0.202 0.120 8.073 3.071 0.120 8.073 1.582 2.636" Properties=species:S:1:pos:R:3 pbc="T T T"
Mn 6.417 1.257 0.744
Mn 0.123 0.024 0.014
Co 18.330 3.591 2.126
Tl 12.303 2.410 1.427
```

=====

Entry 4:
An optimized crystal structure of HoTm2Ge, computed with GGA-PBE.

total DFT energy (no corrections) = -4.751 eV per atom
M_tot = 0.0 Bohr magnetons per cell
DFT formation energy = -216 meV/atom

Cell and atoms, written as extended XYZ:
```
4
Lattice="-2.905 0.694 1.959 -2.844 -2.153 -0.198 1.768 -6.035 8.014" Properties=species:S:1:pos:R:3 pbc="T T T"
Ho -1.991 -3.747 4.888
Tm -1.157 -1.630 2.118
Tm -2.825 -5.864 7.657
Ge 0.000 0.000 0.000
```

=====

Entry 5:
An optimized crystal structure of Ba2Ag3Au, computed with GGA-PBE.

total DFT energy (no corrections) = -3.018 eV per atom
M_tot = 0.0 Bohr magnetons per cell
DFT formation energy = -406 meV/atom

Cell and atoms, written as extended XYZ:
```
12
Lattice="-2.934 -3.071 -4.982 0.184 -6.003 2.604 -6.219 5.884 4.830" Properties=species:S:1:pos:R:3 pbc="T T T"
Au -3.916 -4.086 0.030
Au -5.054 0.897 2.423
Ba -3.705 -2.328 3.123
Ba -5.264 -0.862 -0.670
Ba -0.605 -5.261 0.684
Ba -2.145 -3.813 -3.061
Ag -1.940 -2.033 0.011
Ag -3.323 -6.595 -1.184
Ag -6.444 -3.638 1.242
Ag -7.029 -1.157 2.441
Ag -5.647 3.406 3.637
Ag -2.525 0.448 1.211
```

=====

Entry 6:
An optimized crystal structure of Bi2IrBr, computed with GGA-PBE.

uncorrected formation energy = 398 meV/atom
total DFT energy (no corrections) = -4.176 eV per atom
M_tot = 0.0 Bohr magnetons per cell
distance to the lowest polymorph of the same formula = 0.532 eV/atom

Cell and atoms, written as extended XYZ:
```
4
Lattice="0.000 3.599 3.599 3.599 0.000 3.599 3.599 3.599 0.000" Properties=species:S:1:pos:R:3 pbc="T T T"
Ir 3.599 3.599 3.599
Bi 5.399 5.399 5.399
Bi 1.800 1.800 1.800
Br 0.000 0.000 0.000
```

=====

Q: Look up the M_tot of the fourth one.
A: 0.0 Bohr magnetons per cell

=====

Q: Which value of total DFT energy (no corrections) does entry 3 give?
A: -6.318 eV per atom

=====

Q: The highest total DFT energy (no corrections) belongs to which entry?
A: Ba2Ag3Au

=====

Q: Look up the M_tot of the sixth one.
A: 0.0 Bohr magnetons per cell